# MnW4Br | the Alexandria database | PBE | optimized geometry
# **Volume**: 431.65 Å³/cell
# **Crystal system**: cubic
# **Formation energy without anion corrections**: 1112.4 meV per atom
# **Total moment**: 3.1 μB/f.u.
data_MnW4Br
_chemical_formula_sum 'Mn4 W16 Br4'
_symmetry_space_group_name_H-M 'F -4 3 m'
_symmetry_Int_Tables_number 216
_symmetry_space_group_name_Hall 'F -4 2 3'
_cell_length_a 7.557
_cell_length_b 7.557
_cell_length_c 7.557
_cell_angle_alpha 90.00
_cell_angle_beta 90.00
_cell_angle_gamma 90.00
loop_
_atom_site_label
_atom_site_fract_x
_atom_site_fract_y
_atom_site_fract_z
_atom_site_occupancy
Mn1 0.000 0.000 0.000 1
W1 0.125 0.125 0.625 1
Br1 0.250 0.250 0.250 1